[1]
A relaxed structure of SrTmCuAu, computed with GGA-PBE.

Summary:
Space-group type ... No. 216

abc: 5.1411 5.1411 5.1411
angles: 60.00 60.00 60.00
Fractional coordinates of all 4 atoms:
Tm: 0.0000 0.0000 0.0000
Cu: 0.7500 0.7500 0.7500
Sr: 0.5000 0.5000 0.5000
Au: 0.2500 0.2500 0.2500



[2]
A relaxed structure of SrCuWAu2, computed with GGA-PBE.

Summary:
Space-group type ... No. 123

abc: 5.6174 6.1304 5.6174
angles: 90.00 90.00 90.00
Fractional coordinates of all 5 atoms:
Au: 0.5000 0.0000 0.0000
Au: 0.0000 0.0000 0.5000
Sr: 0.0000 0.0000 0.0000
Cu: 0.5000 0.5000 0.5000
W: 0.0000 0.5000 0.0000



[3]
A relaxed structure of Sr2Zn12Cu3Au, computed with GGA-PBE.

Summary:
Space-group type ... No. 166

abc: 8.3702 8.3702 8.3702
angles: 60.35 60.35 60.35
Fractional coordinates of all 18 atoms:
Zn: 0.8852 0.3656 0.8852
Zn: 0.6344 0.1148 0.1148
Zn: 0.3656 0.8852 0.8852
Zn: 0.3352 0.3352 0.0011
Zn: 0.3352 0.0011 0.3352
Zn: 0.6648 0.6648 0.9989
Zn: 0.8852 0.8852 0.3656
Zn: 0.6648 0.9989 0.6648
Zn: 0.0011 0.3352 0.3352
Zn: 0.1148 0.6344 0.1148
Zn: 0.9989 0.6648 0.6648
Zn: 0.1148 0.1148 0.6344
Cu: 0.0000 0.0000 0.5000
Cu: 0.5000 0.0000 0.0000
Cu: 0.0000 0.5000 0.0000
Sr: 0.3961 0.3961 0.3961
Sr: 0.6039 0.6039 0.6039
Au: 0.0000 0.0000 0.0000



[4]
A relaxed structure of SrZn4CuAu2, computed with GGA-PBE.

Summary:
Space-group type ... No. 166

abc: 4.3893 4.3893 9.5592
angles: 76.73 76.73 60.00
Fractional coordinates of all 8 atoms:
Zn: 0.5913 0.5913 0.2262
Zn: 0.4087 0.4087 0.7738
Zn: 0.8633 0.8633 0.4100
Zn: 0.1367 0.1367 0.5900
Sr: 0.0000 0.0000 0.0000
Cu: 0.5000 0.5000 0.5000
Au: 0.7589 0.7589 0.7233
Au: 0.2411 0.2411 0.2767



no.,DFT formation energy (eV/atom)
1,-0.359
2,2.141
3,0.132
4,-0.256